1.
Entry from Alexandria: a geometry-optimized TlAgAs2PbS5 structure (PBEsol).

Computed properties:
- crystal system = triclinic
- symmetry = P-1
- formation energy without anion corrections (kcal/mol of atoms) = -5.98

abc: 7.719 7.969 8.990
angles: 64.57 74.20 67.13
Positions (direct):
S 0.175 0.570 0.914
S 0.225 0.067 0.824
S 0.825 0.430 0.086
S 0.866 0.698 0.587
S 0.775 0.933 0.176
S 0.622 0.180 0.459
S 0.379 0.659 0.243
S 0.621 0.341 0.757
S 0.378 0.820 0.541
S 0.134 0.302 0.413
As 0.891 0.969 0.363
As 0.109 0.031 0.637
As 0.541 0.380 0.192
As 0.459 0.620 0.808
Ag 0.894 0.236 0.907
Ag 0.106 0.764 0.093
Tl 0.299 0.148 0.129
Tl 0.701 0.852 0.871
Pb 0.753 0.533 0.404
Pb 0.247 0.467 0.596


2.
Entry from Alexandria: a geometry-optimized CrPt7 structure (PBEsol).

Computed properties:
- ΔH_f (0 K) (meV/atom) = -98
- crystal system = cubic
- DOS(E_F) (states/eV/atom) = 1.5939
- symmetry = Fm-3m

abc: 5.503 5.503 5.503
angles: 60.00 60.00 60.00
Each line ends with the local moment (μB).
Positions (direct):
Pt 0.500 0.000 0.500  -0.01
Pt 0.000 0.500 0.000  -0.01
Pt 0.000 0.500 0.500  -0.01
Pt 0.500 0.500 0.000  -0.01
Pt 0.500 0.500 0.500  0.08
Pt 0.000 0.000 0.500  -0.01
Pt 0.500 0.000 0.000  -0.01
Cr 0.000 0.000 0.000  2.86